First-principles (PBE) data for a geometry-optimized CsNaTaNb2 structure, as listed in the Alexandria database.

## Properties
DOS at the Fermi energy in states/eV/f.u.: 5.1
DFT formation energy in meV/atom: 2741.5
SG: No. 123
E_tot in eV/atom: -4.0914
Calculated density in Mg/m³: 6.468

Cell lengths 5.103, 5.152, 5.103 Å; angles 90.00, 90.00, 90.00 degrees
Element x y z (fractional)
Cs1 0.000 0.000 0.000
Na1 0.500 0.500 0.500
Nb1 0.000 0.000 0.500
Nb2 0.500 0.000 0.000
Ta1 0.000 0.500 0.000


First-principles (PBE) data for a geometry-optimized NaLi2Hg7 structure, as listed in the Alexandria database.

## Properties
DOS at the Fermi energy in states/eV/f.u.: 4.6
DFT formation energy in meV/atom: -112.8
SG: No. 65
E_tot in eV/atom: -0.8387
Calculated density in Mg/m³: 8.539

Cell lengths 5.072, 7.857, 7.857 Å; angles 116.48, 90.00, 90.00 degrees
Element x y z (fractional)
Na1 0.000 0.000 0.000
Li1 0.500 0.713 0.287
Li2 0.500 0.287 0.713
Hg1 0.000 0.642 0.358
Hg2 0.000 0.358 0.642
Hg3 0.500 0.065 0.307
Hg4 0.500 0.935 0.693
Hg5 0.500 0.307 0.065
Hg6 0.500 0.693 0.935
Hg7 0.500 0.500 0.500


First-principles (PBE) data for a geometry-optimized Ba2InSn3 structure, as listed in the Alexandria database.

## Properties
DOS at the Fermi energy in states/eV/f.u.: 2.8
DFT formation energy in meV/atom: -546.5
SG: No. 8
E_tot in eV/atom: -3.6453
Calculated density in Mg/m³: 5.687

Cell lengths 4.823, 7.245, 7.247 Å; angles 96.68, 70.57, 70.56 degrees
Element x y z (fractional)
Ba1 0.501 0.247 0.752
Ba2 0.499 0.752 0.249
In1 0.168 0.378 0.286
Sn1 0.836 0.615 0.713
Sn2 0.831 0.127 0.212
Sn3 0.166 0.880 0.789


First-principles (PBE) data for a geometry-optimized HoEr2Hg5 structure, as listed in the Alexandria database.

## Properties
DOS at the Fermi energy in states/eV/f.u.: 3.6
DFT formation energy in meV/atom: -409.7
SG: No. 139
E_tot in eV/atom: -2.3113
Calculated density in Mg/m³: 12.833

Cell lengths 5.176, 5.176, 8.127 Å; angles 108.57, 108.57, 90.00 degrees
Element x y z (fractional)
Ho1 0.000 0.000 0.000
Er1 0.737 0.737 0.473
Er2 0.263 0.263 0.527
Hg1 0.500 0.500 0.000
Hg2 0.874 0.374 0.749
Hg3 0.374 0.874 0.749
Hg4 0.126 0.626 0.251
Hg5 0.626 0.126 0.251


First-principles (PBE) data for a geometry-optimized NdHo5Au6 structure, as listed in the Alexandria database.

## Properties
DOS at the Fermi energy in states/eV/f.u.: 6.4
DFT formation energy in meV/atom: -850.0
SG: No. 12
E_tot in eV/atom: -4.7934
Calculated density in Mg/m³: 12.671

Cell lengths 5.114, 7.150, 8.870 Å; angles 113.76, 106.67, 90.00 degrees
Element x y z (fractional)
Au1 0.828 0.571 0.657
Au2 0.828 0.086 0.657
Au3 0.500 0.734 0.000
Au4 0.500 0.266 0.000
Au5 0.172 0.914 0.343
Au6 0.172 0.429 0.343
Nd1 0.000 0.000 0.000
Ho1 0.665 0.165 0.331
Ho2 0.332 0.332 0.664
Ho3 0.000 0.500 0.000
Ho4 0.668 0.668 0.336
Ho5 0.335 0.835 0.669


First-principles (PBE) data for a geometry-optimized Pm5SmYEr2 structure, as listed in the Alexandria database.

## Properties
DOS at the Fermi energy in states/eV/f.u.: 14.6
DFT formation energy in meV/atom: 152.0
SG: No. 36
E_tot in eV/atom: -4.7437
Calculated density in Mg/m³: 7.012

Cell lengths 5.652, 10.580, 10.675 Å; angles 90.00, 90.00, 105.49 degrees
Element x y z (fractional)
Pm1 0.390 0.781 0.025
Pm2 0.720 0.440 0.810
Pm3 0.480 0.959 0.742
Pm4 0.298 0.595 0.706
Pm5 0.984 0.968 0.521
Pm6 0.610 0.219 0.525
Pm7 0.280 0.560 0.310
Pm8 0.520 0.041 0.242
Pm9 0.702 0.405 0.206
Pm10 0.016 0.032 0.021
Sm1 0.799 0.599 0.511
Sm2 0.201 0.401 0.011
Y1 0.590 0.180 0.957
Y2 0.410 0.820 0.457
Er1 0.885 0.769 0.815
Er2 0.111 0.223 0.738
Er3 0.115 0.231 0.315
Er4 0.889 0.777 0.238


First-principles (PBE) data for a geometry-optimized Zr2AgHPd structure, as listed in the Alexandria database.

## Properties
DOS at the Fermi energy in states/eV/f.u.: 5.2
SG: No. 123
E_tot in eV/atom: -5.9980
Calculated density in Mg/m³: 8.349

Cell lengths 4.380, 4.380, 4.123 Å; angles 90.00, 90.00, 90.00 degrees
Element x y z (fractional)
Zr1 0.000 0.500 0.000
Zr2 0.500 0.000 0.000
Pd1 0.000 0.000 0.500
Ag1 0.500 0.500 0.500
H1 0.000 0.000 0.000


First-principles (PBE) data for a geometry-optimized KNp2HgTe4 structure, as listed in the Alexandria database.

## Properties
DOS at the Fermi energy in states/eV/f.u.: 23.9
SG: No. 63
Formation energy from raw total energies in eV/atom: -0.56
E_tot in eV/atom: -5.5369
Calculated density in Mg/m³: 7.420

Cell lengths 4.526, 7.971, 15.837 Å; angles 90.00, 90.00, 106.50 degrees
Each line ends with the local moment (μB).
Element x y z (fractional)
K1 0.135 0.270 0.750  0.00
K2 0.865 0.730 0.250  0.00
Np1 0.372 0.745 0.567  4.20
Np2 0.628 0.255 0.067  4.20
Np3 0.628 0.255 0.433  4.20
Np4 0.372 0.745 0.933  4.20
Hg1 0.849 0.698 0.750  0.06
Hg2 0.151 0.302 0.250  0.06
Te1 0.267 0.535 0.105  -0.05
Te2 0.733 0.465 0.605  -0.05
Te3 0.733 0.465 0.895  -0.05
Te4 0.267 0.535 0.395  -0.05
Te5 0.000 0.000 0.500  -0.10
Te6 0.000 0.000 0.000  -0.10
Te7 0.464 0.929 0.750  0.01
Te8 0.536 0.071 0.250  0.01


First-principles (PBE) data for a geometry-optimized TcBiTe structure, as listed in the Alexandria database.

## Properties
DOS at the Fermi energy in states/eV/f.u.: 0.1
SG: No. 14
Formation energy from raw total energies in eV/atom: 0.00
E_tot in eV/atom: -5.7972
Calculated density in Mg/m³: 10.069

Cell lengths 6.891, 7.008, 6.995 Å; angles 121.94, 90.00, 90.00 degrees
Element x y z (fractional)
Bi1 0.343 0.847 0.650
Bi2 0.657 0.153 0.350
Bi3 0.157 0.847 0.150
Bi4 0.843 0.153 0.850
Te1 0.363 0.343 0.158
Te2 0.637 0.657 0.842
Te3 0.863 0.657 0.342
Te4 0.137 0.343 0.658
Tc1 0.992 0.737 0.742
Tc2 0.508 0.737 0.242
Tc3 0.008 0.263 0.258
Tc4 0.492 0.263 0.758


First-principles (PBE) data for a geometry-optimized Ce2PmFe2N6 structure, as listed in the Alexandria database.

## Properties
DOS at the Fermi energy in states/eV/f.u.: 8.0
SG: No. 166
Formation energy from raw total energies in eV/atom: -0.56
E_tot in eV/atom: -8.1516
Calculated density in Mg/m³: 6.305

Cell lengths 5.546, 5.546, 6.924 Å; angles 66.39, 66.39, 60.00 degrees
Each line ends with the local moment (μB).
Element x y z (fractional)
Ce1 0.796 0.796 0.611  0.71
Ce2 0.204 0.204 0.389  0.71
Pm1 0.000 0.000 0.000  0.08
Fe1 0.409 0.409 0.772  1.46
Fe2 0.591 0.591 0.228  1.46
N1 0.736 0.736 0.303  0.03
N2 0.226 0.736 0.303  0.03
N3 0.736 0.226 0.303  0.03
N4 0.264 0.774 0.697  0.03
N5 0.774 0.264 0.697  0.03
N6 0.264 0.264 0.697  0.03